Entry 1:
Density functional theory data (GGA-PBE) for a geometry-optimized BiTeO4 structure.

CIF file:
```
data_BiTeO4
_cell_length_a 12.9210
_cell_length_b 5.6987
_cell_length_c 10.4215
_cell_angle_alpha 90.00
_cell_angle_beta 115.32
_cell_angle_gamma 90.00
_symmetry_space_group_name_H-M 'C 1 2 1'
_symmetry_Int_Tables_number 5
_symmetry_space_group_name_Hall 'C 2y'
loop_
_atom_site_label
_atom_site_fract_x
_atom_site_fract_y
_atom_site_fract_z
Bi1 0.0000 0.0000 0.0000
Bi2 0.0000 0.0892 0.5000
Bi3 0.2239 0.5088 0.0969
Te1 0.0009 0.5593 0.2509
Te2 0.2282 0.6431 0.6302
O1 0.0718 0.7802 0.4064
O2 0.0787 0.3308 0.9018
O3 0.0994 0.6738 0.1646
O4 0.1024 0.3141 0.3670
O5 0.1051 0.7952 0.8781
O6 0.1078 0.4616 0.6651
O7 0.1815 0.9531 0.6550
O8 0.1844 0.1543 0.1607
```

Summary:
For the total magnetic moment, the calculation gives 0.0 μB/f.u. Its total energy is -5.6207 eV/atom. The calculation puts the density at 7.7 Mg/m³. The uncorrected formation energy comes out at -1.145 eV/atom.

Entry 2:
Density functional theory data (GGA-PBE) for a geometry-optimized TlBiTeO6 structure.

CIF file:
```
data_TlBiTeO6
_cell_length_a 5.5972
_cell_length_b 5.5972
_cell_length_c 9.7512
_cell_angle_alpha 90.00
_cell_angle_beta 90.00
_cell_angle_gamma 120.00
_symmetry_space_group_name_H-M 'P -3 1 c'
_symmetry_Int_Tables_number 163
_symmetry_space_group_name_Hall '-P 3 2c'
loop_
_atom_site_label
_atom_site_fract_x
_atom_site_fract_y
_atom_site_fract_z
Tl1 0.3333 0.6667 0.2500
Bi1 0.0000 0.0000 0.0000
Te1 0.3333 0.6667 0.7500
O1 0.0421 0.3785 0.6355
```

Summary:
For the total magnetic moment, the calculation gives 0.0 μB/f.u. Its total energy is -5.3339 eV/atom. The calculation puts the density at 8.0 Mg/m³. The uncorrected formation energy comes out at -0.985 eV/atom.

Please write out number 2 again, unchanged.
Density functional theory data (GGA-PBE) for a geometry-optimized TlBiTeO6 structure.

CIF file:
```
data_TlBiTeO6
_cell_length_a 5.5972
_cell_length_b 5.5972
_cell_length_c 9.7512
_cell_angle_alpha 90.00
_cell_angle_beta 90.00
_cell_angle_gamma 120.00
_symmetry_space_group_name_H-M 'P -3 1 c'
_symmetry_Int_Tables_number 163
_symmetry_space_group_name_Hall '-P 3 2c'
loop_
_atom_site_label
_atom_site_fract_x
_atom_site_fract_y
_atom_site_fract_z
Tl1 0.3333 0.6667 0.2500
Bi1 0.0000 0.0000 0.0000
Te1 0.3333 0.6667 0.7500
O1 0.0421 0.3785 0.6355
```

Summary:
For the total magnetic moment, the calculation gives 0.0 μB/f.u. Its total energy is -5.3339 eV/atom. The calculation puts the density at 8.0 Mg/m³. The uncorrected formation energy comes out at -0.985 eV/atom.